KBeFe | PBE-GGA | optimized geometry

Geometry as POSCAR:
```
KBeFe
1.0
-1.5477 1.5477 5.9380
1.5477 -1.5477 5.9380
1.5477 1.5477 -5.9380
K Be Fe
1 1 1
Cartesian
0.0000 0.0000 0.0000
0.0000 0.0000 8.7658
0.0000 0.0000 3.1066
```

Calculated values
Symmetry = I4mm, No. 107
Excess energy over the best structure of this formula in the dataset = 0.0 meV/atom
Volume = 18.96 Å³ per atom
Energy relative to the elements = 0.700 eV/atom

=====

AlGa4Cu | PBE-GGA | optimized geometry

Geometry as POSCAR:
```
AlGa4Cu
1.0
5.1932 0.0000 0.0000
0.0000 6.2135 0.0000
0.0000 0.0000 6.5102
Al Ga Cu
2 8 2
Cartesian
0.0000 0.0000 0.0000
2.5966 3.1068 0.0000
0.9477 1.9580 4.8681
0.9477 4.2555 1.6421
1.4758 1.0084 2.2129
1.4758 5.2051 4.2974
3.7174 1.0084 4.2974
3.7174 5.2051 2.2129
4.2455 1.9580 1.6421
4.2455 4.2555 4.8681
2.5966 0.0000 0.0000
2.5966 3.1068 3.2551
```

Calculated values
Symmetry = P222, No. 16
Excess energy over the best structure of this formula in the dataset = 77.6 meV/atom
Volume = 17.51 Å³ per atom
Energy relative to the elements = 0.038 eV/atom

=====

- What is the volume in the first record?
  18.96 Å³ per atom